{
  "formula": "Dy5Ho4In4",
  "functional": "PBE",
  "state": "optimized geometry",
  "m_tot_mub_per_atom": 0.0000,
  "e_tot_ev_per_atom": -4.34,
  "n_ef_per_ev_cell": 11.99,
  "lattice": [[-6.077, 6.077, 2.537], [6.077, -6.077, 2.537], [6.077, 6.077, -2.537]],
  "species": ["Dy", "Dy", "Dy", "Dy", "Dy", "Ho", "Ho", "Ho", "Ho", "In", "In", "In", "In"],
  "fractional_positions": [[0.000, 0.000, 0.000], [0.313, 0.596, 0.909], [0.404, 0.313, 0.718], [0.596, 0.687, 0.282], [0.687, 0.404, 0.091], [0.097, 0.392, 0.489], [0.392, 0.903, 0.294], [0.608, 0.097, 0.706], [0.903, 0.608, 0.511], [0.109, 0.766, 0.874], [0.234, 0.109, 0.343], [0.766, 0.891, 0.657], [0.891, 0.234, 0.126]]
}

---

{
  "formula": "KTlIr2",
  "functional": "PBE",
  "state": "optimized geometry",
  "relative_energy_ev_per_atom": 0.1956,
  "m_tot_mub_per_atom": 0.1370,
  "n_ef_per_ev_cell": 7.16,
  "lattice": [[11.986, 0.000, 0.000], [0.000, 2.834, 0.000], [-5.888, 0.000, 6.860]],
  "species": ["K", "K", "Tl", "Tl", "Ir", "Ir", "Ir", "Ir"],
  "fractional_positions": [[0.000, 0.000, 0.000], [0.500, 0.500, 0.000], [0.000, 0.500, 0.500], [0.500, 0.000, 0.500], [0.184, 0.000, 0.848], [0.316, 0.500, 0.152], [0.684, 0.500, 0.848], [0.816, 0.000, 0.152]]
}